The following is a GGA+U calculation of crystalline TbCrSO2 at its relaxed geometry, from Alexandria via LeMat-Bulk.

For the electronic total energy, the calculation gives -145.26 eV for the cell shown. For the total magnetic moment, the calculation gives 0.598 μB/atom.

The structure belongs to space group Cmcm (No. 63); the cell edges are 5.196, 11.500 and 5.162 Å and the angles 90.00°, 90.00° and 90.00°. The inequivalent atoms are Tb at (0.000, 0.120, 0.250), Cr at (0.000, 0.436, 0.250), S at (0.000, 0.257, 0.750) and O at (0.244, 0.500, 0.000).